Here is an optimized crystal structure of PuPaAs2Rh5 from the Alexandria database. Energies are from GGA-PBE.

a = 4.0063 Å, b = 4.0063 Å, c = 11.4117 Å
α = 90.00°, β = 90.00°, γ = 90.00°
With the nearest neighbours (Å) after each atom.
Sites, in units of the cell vectors:
Pu1 0.0000 0.0000 0.0000  4 Rh 2.83
Pa1 0.0000 0.0000 0.5000  8 Rh 2.78
As1 0.5000 0.5000 0.2104  5 Rh 2.40-2.43
As2 0.5000 0.5000 0.7896  5 Rh 2.40-2.43
Rh1 0.0000 0.5000 0.3316  2 As 2.43
Rh2 0.0000 0.5000 0.6684  2 As 2.43
Rh3 0.5000 0.0000 0.3316  2 As 2.43
Rh4 0.5000 0.0000 0.6684  2 As 2.43
Rh5 0.5000 0.5000 0.0000  2 As 2.40

Output
- Total magnetic moment: 5.326 μB per cell
- Uncorrected energy: -75.14 eV for the cell shown
- Energy of formation: -584 meV per atom